1.
Here is crystalline Hf3Tl3AgTe8 at its relaxed geometry from Alexandria. Energies are from GGA-PBE.

a b c (Å): 8.3562 8.3562 24.6276
angles (deg): 90.00 90.00 120.00
Space group R-3m (No. 166, hexagonal axes)
Inequivalent atoms, fractional coordinates:
1 Hf 0.0000 0.5000 0.0000 x9
2 Tl 0.0000 0.5000 0.5000 x9
3 Ag 0.0000 0.0000 0.0000 x3
4 Te 0.0000 0.0000 0.2647 x6
5 Te 0.0127 0.5064 0.2658 x18

Computed properties:
total energy: -4.841 eV per atom
total moment: 0.000 μB per cell

---

2.
Here is crystalline SiTc3C at its relaxed geometry from Alexandria. Energies are from GGA-PBE.

a b c (Å): 4.040 4.040 4.040
angles (deg): 90.00 90.00 90.00
Space group Pm-3m (No. 221)
Inequivalent atoms, fractional coordinates:
1 Si 0.000 0.000 0.000 x1
2 Tc 0.000 0.500 0.500 x3
3 C 0.500 0.500 0.500 x1

Computed properties:
total energy: -9.009 eV per atom
total moment: 1.740 μB per cell

---

3.
Here is crystalline ScBiSb at its relaxed geometry from Alexandria. Energies are from GGA-PBE.

a b c (Å): 4.9209 4.9209 4.0761
angles (deg): 90.00 90.00 120.00
Space group P-6m2 (No. 187)
Inequivalent atoms, fractional coordinates:
1 Sc 0.0000 0.0000 0.0000 x1
2 Bi 0.3333 0.6667 0.5000 x1
3 Sb 0.6667 0.3333 0.0000 x1

Computed properties:
total energy: -4.977 eV per atom
total moment: 0.000 μB per cell

---

4.
Here is crystalline Ce2Sn5Pd3 at its relaxed geometry from Alexandria. Energies are from GGA-PBE.

a b c (Å): 4.642 26.927 7.383
angles (deg): 90.00 90.00 90.00
Space group Cmc2_1 (No. 36)
Inequivalent atoms, fractional coordinates:
1 Ce 0.000 0.022 0.000 x4
2 Ce 0.000 0.329 0.986 x4
3 Sn 0.000 0.097 0.635 x4
4 Sn 0.000 0.205 0.187 x4
5 Sn 0.000 0.212 0.762 x4
6 Sn 0.000 0.381 0.502 x4
7 Sn 0.000 0.451 0.832 x4
8 Pd 0.000 0.105 0.257 x4
9 Pd 0.000 0.279 0.468 x4
10 Pd 0.000 0.450 0.217 x4

Computed properties:
total energy: -5.414 eV per atom
total moment: 8.034 μB per cell
energy of formation from the pure elements: -667.6 meV/atom

---

5.
Here is crystalline Hf2Se2N at its relaxed geometry from Alexandria. Energies are from GGA-PBE.

a b c (Å): 6.771 10.017 5.504
angles (deg): 90.00 90.00 90.00
Space group Ibam (No. 72)
Inequivalent atoms, fractional coordinates:
1 Hf 0.203 0.086 0.000 x8
2 Se 0.117 0.348 0.000 x8
3 N 0.000 0.000 0.250 x4

Computed properties:
total energy: -8.375 eV per atom
total moment: 0.000 μB per cell

---

6.
Here is crystalline CeDyTlGa at its relaxed geometry from Alexandria. Energies are from GGA-PBE.

a b c (Å): 3.444 3.444 8.573
angles (deg): 90.00 90.00 90.00
Space group P4mm (No. 99)
Inequivalent atoms, fractional coordinates:
1 Ce 0.000 0.000 0.000 x1
2 Dy 0.000 0.000 0.544 x1
3 Tl 0.500 0.500 0.277 x1
4 Ga 0.500 0.500 0.765 x1

Computed properties:
total energy: -4.392 eV per atom
total moment: 0.886 μB per cell
energy of formation from the pure elements: -409.6 meV/atom

---

7.
Here is crystalline K3In2PdO6 at its relaxed geometry from Alexandria. Energies are from GGA-PBE.

a b c (Å): 5.928 9.843 6.445
angles (deg): 90.00 109.06 90.00
Space group C2/m (No. 12)
Inequivalent atoms, fractional coordinates:
1 K 0.000 0.000 0.000 x2
2 K 0.000 0.335 0.000 x4
3 In 0.000 0.165 0.500 x4
4 Pd 0.000 0.500 0.500 x2
5 O 0.217 0.000 0.700 x4
6 O 0.218 0.340 0.677 x8

Computed properties:
total energy: -4.934 eV per atom
total moment: 2.004 μB per cell

---

8.
Here is crystalline Ac3YMg4 at its relaxed geometry from Alexandria. Energies are from GGA-PBE.

a b c (Å): 4.031 4.031 16.213
angles (deg): 90.00 90.00 90.00
Space group P4/mmm (No. 123)
Inequivalent atoms, fractional coordinates:
1 Ac 0.000 0.000 0.000 x1
2 Ac 0.000 0.000 0.261 x2
3 Y 0.000 0.000 0.500 x1
4 Mg 0.500 0.500 0.129 x2
5 Mg 0.500 0.500 0.395 x2

Computed properties:
total energy: -3.223 eV per atom
total moment: 0.000 μB per cell
energy of formation from the pure elements: -77.2 meV/atom

---

9.
Here is crystalline LaCeTmTh at its relaxed geometry from Alexandria. Energies are from GGA-PBE.

a b c (Å): 8.021 8.021 8.021
angles (deg): 90.00 90.00 90.00
Space group F-43m (No. 216)
Inequivalent atoms, fractional coordinates:
1 La 0.000 0.000 0.000 x4
2 Ce 0.250 0.250 0.750 x4
3 Tm 0.250 0.250 0.250 x4
4 Th 0.000 0.000 0.500 x4

Computed properties:
total energy: -5.484 eV per atom
total moment: 4.475 μB per cell
energy of formation from the pure elements: 203.8 meV/atom

---

10.
Here is crystalline PmErGaIr at its relaxed geometry from Alexandria. Energies are from GGA-PBE.

a b c (Å): 4.246 4.057 10.792
angles (deg): 90.00 90.00 90.00
Space group Amm2 (No. 38)
Inequivalent atoms, fractional coordinates:
1 Pm 0.000 0.000 0.000 x2
2 Er 0.500 0.000 0.717 x2
3 Ga 0.500 0.000 0.421 x2
4 Ir 0.000 0.000 0.279 x2

Computed properties:
total energy: -6.007 eV per atom
total moment: 0.000 μB per cell
energy of formation from the pure elements: -707.0 meV/atom

---

11.
Here is crystalline CaSn2N2 at its relaxed geometry from Alexandria. Energies are from GGA-PBE.

a b c (Å): 3.456 3.456 9.593
angles (deg): 90.00 90.00 90.00
Space group P-4m2 (No. 115)
Inequivalent atoms, fractional coordinates:
1 Ca 0.000 0.000 0.000 x1
2 Sn 0.500 0.500 0.295 x2
3 N 0.000 0.500 0.838 x2

Computed properties:
total energy: -5.414 eV per atom
total moment: 0.000 μB per cell

---

12.
Here is crystalline AlTe2Br at its relaxed geometry from Alexandria. Energies are from GGA-PBE.

a b c (Å): 7.103 4.612 9.006
angles (deg): 90.00 90.32 90.00
Space group Cm (No. 8)
Inequivalent atoms, fractional coordinates:
1 Al 0.000 0.000 0.000 x2
2 Te 0.143 0.500 0.641 x2
3 Te 0.383 0.000 0.864 x2
4 Br 0.297 0.500 0.206 x2

Computed properties:
total energy: -3.057 eV per atom
total moment: 0.000 μB per cell